[1]
Entry from the Alexandria database: an optimized crystal structure of BaCa2ReTe (PBE).

Calculated values
- E_form (uncorrected) (kJ per mole of atoms) = 17.8
- total magnetic moment (μB/cell) = 0.0
- DOS(E_F) (states/eV/f.u.) = 4.32
- DFT total energy (eV/atom) = -4.119

Cell: 5.7148 5.7148 5.1899 Å, 90.00 90.00 90.00°
Space group P4/mmm (No. 123)
Unique sites:
Ba 0.0000 0.0000 0.0000 x1
Ca 0.0000 0.5000 0.5000 x2
Re 0.5000 0.5000 0.5000 x1
Te 0.5000 0.5000 0.0000 x1

[2]
Entry from the Alexandria database: an optimized crystal structure of BaCa2ReTe (PBE).

Calculated values
- E_form (uncorrected) (kJ per mole of atoms) = 160.0
- total magnetic moment (μB/cell) = 3.8
- DOS(E_F) (states/eV/f.u.) = 2.71
- DFT total energy (eV/atom) = -2.645

Cell: 6.6732 6.6732 6.1760 Å, 90.00 90.00 90.00°
Space group P4/mmm (No. 123)
Unique sites:
Ba 0.0000 0.0000 0.0000 x1
Ca 0.0000 0.5000 0.0000 x2
Re 0.5000 0.5000 0.5000 x1
Te 0.0000 0.0000 0.5000 x1